Record 1
Density functional theory data (PBE) for an optimized crystal structure of AlCuSb2.

Output
The value obtained for the magnetization is 0.000 μB/atom. As for the formation energy without anion corrections: 21.6 kJ per mole of atoms.

a = 4.858 Å, b = 4.858 Å, c = 4.325 Å
α = 74.61°, β = 74.61°, γ = 103.20°
Positions (direct):
Al  0.500  0.000  0.500
Sb  0.000  0.000  0.000
Sb  0.500  0.500  0.000
Cu  0.000  0.500  0.500

Record 2
Density functional theory data (PBE) for an optimized crystal structure of AlCuSb2.

Output
The value obtained for the magnetization is 0.000 μB/atom. As for the formation energy without anion corrections: 3.4 kJ per mole of atoms.

a = 4.432 Å, b = 4.432 Å, c = 6.183 Å
α = 73.09°, β = 73.09°, γ = 51.63°
Positions (direct):
Sb  0.009  0.009  0.085
Sb  0.734  0.734  0.680
Al  0.508  0.508  0.436
Cu  0.249  0.249  0.300

Record 3
Density functional theory data (PBE) for an optimized crystal structure of AlCuSb2.

Output
The value obtained for the magnetization is 0.000 μB/atom. As for the formation energy without anion corrections: 17.5 kJ per mole of atoms.

a = 3.156 Å, b = 3.156 Å, c = 8.621 Å
α = 90.00°, β = 90.00°, γ = 98.87°
Positions (direct):
Cu  0.500  0.500  0.716
Sb  0.000  0.000  0.941
Sb  0.500  0.500  0.291
Al  0.000  0.000  0.552

Record 4
Density functional theory data (PBE) for an optimized crystal structure of AlCuSb2.

Output
The value obtained for the magnetization is 0.000 μB/atom. As for the formation energy without anion corrections: 25.2 kJ per mole of atoms.

a = 5.192 Å, b = 5.192 Å, c = 5.192 Å
α = 133.99°, β = 117.59°, γ = 80.93°
Positions (direct):
Sb  0.980  0.980  0.000
Sb  0.520  0.520  0.000
Al  0.250  0.750  0.500
Cu  0.750  0.250  0.500

Record 5
Density functional theory data (PBE) for an optimized crystal structure of AlCuSb2.

Output
The value obtained for the magnetization is 0.000 μB/atom. As for the formation energy without anion corrections: 24.8 kJ per mole of atoms.

a = 3.332 Å, b = 3.332 Å, c = 7.593 Å
α = 90.00°, β = 90.00°, γ = 90.00°
Positions (direct):
Cu  0.500  0.500  0.750
Al  0.500  0.500  0.250
Sb  0.000  0.000  0.979
Sb  0.000  0.000  0.521

Record 6
Density functional theory data (PBE) for an optimized crystal structure of Al2Cu2Sb.

Output
The value obtained for the magnetization is 0.000 μB/atom. As for the formation energy without anion corrections: 11.6 kJ per mole of atoms.

a = 3.739 Å, b = 3.739 Å, c = 6.764 Å
α = 73.96°, β = 73.96°, γ = 90.00°
Positions (direct):
Sb  0.000  0.000  0.000
Cu  0.250  0.750  0.500
Cu  0.750  0.250  0.500
Al  0.389  0.389  0.223
Al  0.611  0.611  0.777

Record 7
Density functional theory data (PBE) for an optimized crystal structure of Al3CuSb.

Output
The value obtained for the magnetization is 0.000 μB/atom. As for the formation energy without anion corrections: 20.2 kJ per mole of atoms.

a = 4.664 Å, b = 4.664 Å, c = 4.664 Å
α = 90.00°, β = 90.00°, γ = 90.00°
Positions (direct):
Sb  0.500  0.500  0.500
Cu  0.000  0.000  0.000
Al  0.000  0.500  0.000
Al  0.500  0.000  0.000
Al  0.000  0.000  0.500

Record 8
Density functional theory data (PBE) for an optimized crystal structure of AlCuSb3.

Output
The value obtained for the magnetization is 0.000 μB/atom. As for the formation energy without anion corrections: 80.8 kJ per mole of atoms.

a = 5.237 Å, b = 5.237 Å, c = 5.237 Å
α = 90.00°, β = 90.00°, γ = 90.00°
Positions (direct):
Sb  0.500  0.000  0.000
Sb  0.000  0.500  0.000
Sb  0.000  0.000  0.500
Cu  0.500  0.500  0.500
Al  0.000  0.000  0.000

Record 9
Density functional theory data (PBE) for an optimized crystal structure of Al4CuSb.

Output
The value obtained for the magnetization is 0.000 μB/atom. As for the formation energy without anion corrections: 27.0 kJ per mole of atoms.

a = 5.401 Å, b = 5.401 Å, c = 5.401 Å
α = 60.00°, β = 60.00°, γ = 60.00°
Positions (direct):
Cu  0.750  0.750  0.750
Al  0.376  0.376  0.376
Al  0.376  0.873  0.376
Al  0.873  0.376  0.376
Al  0.376  0.376  0.873
Sb  0.000  0.000  0.000

Record 10
Density functional theory data (PBE) for an optimized crystal structure of AlCuSb2.

Output
The value obtained for the magnetization is 0.000 μB/atom. As for the formation energy without anion corrections: 39.6 kJ per mole of atoms.

a = 4.960 Å, b = 4.960 Å, c = 4.960 Å
α = 60.00°, β = 60.00°, γ = 60.00°
Positions (direct):
Al  0.500  0.500  0.500
Cu  0.750  0.750  0.750
Sb  0.000  0.000  0.000
Sb  0.250  0.250  0.250

Record 11
Density functional theory data (PBE) for an optimized crystal structure of AlCuSb2.

Output
The value obtained for the magnetization is 0.000 μB/atom. As for the formation energy without anion corrections: 24.1 kJ per mole of atoms.

a = 3.376 Å, b = 3.376 Å, c = 7.597 Å
α = 90.00°, β = 90.00°, γ = 100.38°
Positions (direct):
Sb  0.000  0.000  0.979
Sb  0.000  0.000  0.521
Al  0.500  0.500  0.250
Cu  0.500  0.500  0.750

Record 12
Density functional theory data (PBE) for an optimized crystal structure of AlCuSb2.

Output
The value obtained for the magnetization is 0.000 μB/atom. As for the formation energy without anion corrections: 10.2 kJ per mole of atoms.

a = 3.917 Å, b = 3.917 Å, c = 6.964 Å
α = 73.71°, β = 73.71°, γ = 59.62°
Positions (direct):
Sb  0.507  0.507  0.478
Sb  0.993  0.993  0.022
Al  0.750  0.750  0.750
Cu  0.250  0.250  0.250

Record 13
Density functional theory data (PBE) for an optimized crystal structure of AlCuSb2.

Output
The value obtained for the magnetization is 0.000 μB/atom. As for the formation energy without anion corrections: 12.6 kJ per mole of atoms.

a = 6.124 Å, b = 6.124 Å, c = 7.332 Å
α = 65.32°, β = 65.32°, γ = 90.00°
Positions (direct):
Sb  0.875  0.897  0.750
Sb  0.375  0.353  0.750
Sb  0.103  0.625  0.250
Sb  0.647  0.125  0.250
Al  0.500  0.500  0.000
Al  0.250  0.750  0.500
Cu  0.000  0.000  0.000
Cu  0.750  0.250  0.500

Record 14
Density functional theory data (PBE) for an optimized crystal structure of Al2Cu2Sb.

Output
The value obtained for the magnetization is 0.000 μB/atom. As for the formation energy without anion corrections: 4.6 kJ per mole of atoms.

a = 7.512 Å, b = 7.512 Å, c = 2.932 Å
α = 90.00°, β = 90.00°, γ = 90.00°
Positions (direct):
Cu  0.342  0.842  0.000
Cu  0.658  0.158  0.000
Cu  0.158  0.342  0.000
Cu  0.842  0.658  0.000
Al  0.866  0.366  0.500
Al  0.134  0.634  0.500
Al  0.634  0.866  0.500
Al  0.366  0.134  0.500
Sb  0.000  0.000  0.000
Sb  0.500  0.500  0.000

Record 15
Density functional theory data (PBE) for an optimized crystal structure of AlCuSb2.

Output
The value obtained for the magnetization is 0.000 μB/atom. As for the formation energy without anion corrections: 4.4 kJ per mole of atoms.

a = 4.582 Å, b = 4.506 Å, c = 4.504 Å
α = 74.23°, β = 90.00°, γ = 90.00°
Positions (direct):
Sb  0.500  0.321  0.321
Sb  0.000  0.922  0.922
Al  0.000  0.539  0.539
Cu  0.500  0.717  0.717

Record 16
Density functional theory data (PBE) for an optimized crystal structure of AlCuSb2.

Output
The value obtained for the magnetization is 0.000 μB/atom. As for the formation energy without anion corrections: 29.0 kJ per mole of atoms.

a = 4.911 Å, b = 4.911 Å, c = 4.911 Å
α = 60.00°, β = 60.00°, γ = 60.00°
Positions (direct):
Cu  0.500  0.500  0.500
Al  0.000  0.000  0.000
Sb  0.250  0.250  0.250
Sb  0.750  0.750  0.750

Record 17
Density functional theory data (PBE) for an optimized crystal structure of AlCuSb2.

Output
The value obtained for the magnetization is 0.000 μB/atom. As for the formation energy without anion corrections: 8.5 kJ per mole of atoms.

a = 3.260 Å, b = 3.786 Å, c = 7.520 Å
α = 90.00°, β = 90.00°, γ = 90.00°
Positions (direct):
Sb  0.000  0.000  0.901
Sb  0.500  0.500  0.346
Al  0.000  0.000  0.541
Cu  0.500  0.500  0.712

Record 18
Density functional theory data (PBE) for an optimized crystal structure of AlCuSb2.

Output
The value obtained for the magnetization is 0.000 μB/atom. As for the formation energy without anion corrections: 26.9 kJ per mole of atoms.

a = 6.112 Å, b = 6.112 Å, c = 6.112 Å
α = 141.93°, β = 141.93°, γ = 54.93°
Positions (direct):
Al  0.500  0.500  0.000
Cu  0.750  0.250  0.500
Sb  0.250  0.750  0.500
Sb  0.000  0.000  0.000

Record 19
Density functional theory data (PBE) for an optimized crystal structure of AlCuSbTe2.

Output
The value obtained for the magnetization is 0.000 μB/atom. As for the formation energy without anion corrections: 45.1 kJ per mole of atoms.

a = 5.333 Å, b = 5.333 Å, c = 4.917 Å
α = 90.00°, β = 90.00°, γ = 90.00°
Positions (direct):
Sb  0.000  0.000  0.500
Te  0.500  0.000  0.000
Te  0.000  0.500  0.000
Al  0.500  0.500  0.500
Cu  0.000  0.000  0.000

Record 20
Density functional theory data (PBE) for an optimized crystal structure of AlCuSbTe2.

Output
The value obtained for the magnetization is 0.000 μB/atom. As for the formation energy without anion corrections: 67.6 kJ per mole of atoms.

a = 5.358 Å, b = 5.358 Å, c = 5.174 Å
α = 90.00°, β = 90.00°, γ = 90.00°
Positions (direct):
Cu  0.500  0.500  0.500
Te  0.000  0.500  0.000
Te  0.500  0.000  0.000
Al  0.000  0.000  0.000
Sb  0.000  0.000  0.500

Record 21
Density functional theory data (PBE) for an optimized crystal structure of YAlCuSb2.

Output
The value obtained for the magnetization is 0.000 μB/atom. As for the formation energy without anion corrections: 8.5 kJ per mole of atoms.

a = 5.366 Å, b = 4.476 Å, c = 5.366 Å
α = 90.00°, β = 90.00°, γ = 90.00°
Positions (direct):
Cu  0.000  0.500  0.000
Al  0.000  0.000  0.000
Y  0.500  0.500  0.500
Sb  0.500  0.000  0.000
Sb  0.000  0.000  0.500

Record 22
Density functional theory data (PBE) for an optimized crystal structure of ZrAl2CuSb.

Output
The value obtained for the magnetization is 0.000 μB/atom. As for the formation energy without anion corrections: 92.7 kJ per mole of atoms.

a = 5.191 Å, b = 4.650 Å, c = 5.191 Å
α = 90.00°, β = 90.00°, γ = 90.00°
Positions (direct):
Zr  0.500  0.500  0.500
Al  0.000  0.000  0.500
Al  0.500  0.000  0.000
Sb  0.000  0.000  0.000
Cu  0.000  0.500  0.000

Record 23
Density functional theory data (PBE) for an optimized crystal structure of ScAlCu5.

Output
The value obtained for the magnetization is 0.000 μB/atom. Its formation energy is -229 meV/atom.

a = 4.896 Å, b = 7.933 Å, c = 10.092 Å
α = 90.00°, β = 90.00°, γ = 90.00°
Positions (direct):
Al  0.750  0.145  0.146
Al  0.250  0.855  0.854
Al  0.250  0.355  0.646
Al  0.750  0.645  0.354
Cu  0.993  0.436  0.194
Cu  0.750  0.314  0.747
Cu  0.750  0.814  0.753
Cu  0.507  0.936  0.306
Cu  0.007  0.064  0.694
Cu  0.993  0.936  0.306
Cu  0.750  0.904  0.517
Cu  0.007  0.564  0.806
Cu  0.250  0.443  0.415
Cu  0.493  0.564  0.806
Cu  0.750  0.057  0.915
Cu  0.507  0.436  0.194
Cu  0.250  0.596  0.017
Cu  0.750  0.404  0.983
Cu  0.250  0.686  0.253
Cu  0.493  0.064  0.694
Cu  0.750  0.557  0.585
Cu  0.250  0.186  0.247
Cu  0.250  0.943  0.085
Cu  0.250  0.096  0.483
Sc  0.250  0.246  0.940
Sc  0.750  0.754  0.060
Sc  0.750  0.254  0.440
Sc  0.250  0.746  0.560

Record 24
Density functional theory data (PBE) for an optimized crystal structure of Sc2Al8Cu.

Output
The value obtained for the magnetization is 0.000 μB/atom. Its formation energy is -348 meV/atom.

a = 4.162 Å, b = 4.162 Å, c = 10.834 Å
α = 90.00°, β = 90.00°, γ = 90.00°
Positions (direct):
Sc  0.000  0.000  0.315
Sc  0.000  0.000  0.685
Al  0.000  0.500  0.128
Al  0.500  0.000  0.128
Al  0.500  0.500  0.692
Al  0.500  0.000  0.872
Al  0.500  0.500  0.308
Al  0.000  0.500  0.500
Al  0.500  0.000  0.500
Al  0.000  0.500  0.872
Cu  0.000  0.000  0.000

Record 25
Density functional theory data (PBE) for an optimized crystal structure of ScAl7Cu5.

Output
The value obtained for the magnetization is 0.000 μB/atom. Its formation energy is -321 meV/atom.

a = 5.070 Å, b = 6.622 Å, c = 6.622 Å
α = 82.15°, β = 67.49°, γ = 67.49°
Positions (direct):
Al  0.273  0.227  0.227
Al  0.993  0.662  0.351
Al  0.508  0.191  0.792
Al  0.339  0.661  0.661
Al  0.508  0.792  0.191
Al  0.648  0.352  0.352
Al  0.993  0.351  0.662
Cu  0.730  0.770  0.770
Cu  0.004  0.001  0.493
Cu  0.004  0.493  0.001
Cu  0.501  0.001  0.493
Cu  0.501  0.493  0.001
Sc  0.995  0.005  0.005

Record 26
Density functional theory data (PBE) for an optimized crystal structure of ScAlCu.

Output
The value obtained for the magnetization is 0.001 μB/atom. Its formation energy is -135 meV/atom.

a = 4.880 Å, b = 4.880 Å, c = 4.880 Å
α = 145.10°, β = 129.24°, γ = 63.09°
Positions (direct):
Al  0.000  0.000  0.000
Cu  0.337  0.337  0.000
Sc  0.664  0.664  0.000

Record 27
Density functional theory data (PBE) for an optimized crystal structure of Sc3Al3Cu.

Output
The value obtained for the magnetization is 0.034 μB/atom. Its formation energy is -403 meV/atom.

a = 4.361 Å, b = 3.285 Å, c = 9.651 Å
α = 99.80°, β = 103.06°, γ = 90.00°
Site moments in Bohr magnetons follow the coordinates.
Positions (direct):
Sc  0.305  0.805  0.609  0.07
Sc  0.998  0.998  0.996  0.01
Sc  0.700  0.200  0.400  0.05
Al  0.861  0.361  0.722  0.00
Al  0.142  0.642  0.284  0.00
Al  0.563  0.563  0.126  0.00
Cu  0.431  0.431  0.861  0.00